Arrangement A

VASP calculation (PBE) on an optimized crystal structure of PmNd5Ho3.

Its crystal system is monoclinic.

The structure belongs to space group C2/c (No. 15); the cell edges are 20.2575, 6.2600 and 11.6872 Å and the angles 90.00°, 122.11° and 90.00°. The inequivalent atoms are Pm at (0.0000, 0.1198, 0.2500), Nd at (0.0000, 0.3969, 0.7500), Nd at (0.1393, 0.3248, 0.1528), Nd at (0.1800, 0.1855, 0.8351), Ho at (0.0000, 0.0000, 0.0000) and Ho at (0.1778, 0.2184, 0.5315).

=====

Arrangement B

VASP calculation (PBE) on an optimized crystal structure of PmNd5Ho3.

Its crystal system is monoclinic.

The structure belongs to space group C2/m (No. 12); the cell edges are 15.3200, 11.7384 and 9.9289 Å and the angles 90.00°, 129.65° and 90.00°. The inequivalent atoms are Pm at (0.2486, 0.0000, 0.0871), Nd at (0.0000, 0.2456, 0.5000), Nd at (0.1424, 0.2484, 0.2399), Nd at (0.2271, 0.5000, 0.5518), Nd at (0.2295, 0.0000, 0.7353), Ho at (0.0000, 0.0000, 0.0000), Ho at (0.0000, 0.5000, 0.5000), Ho at (0.0065, 0.0000, 0.3243) and Ho at (0.0137, 0.5000, 0.8514).

=====

Stability summary - winner: arrangement A; margin: 18.0 kJ/mol of atoms.